(1)
A relaxed Tb2Tm5Ni4 crystal, computed with GGA-PBE.

Structure (POSCAR):
```
Tb2Tm5Ni4
1.0
3.524 0.000 0.000
0.000 6.540 -1.100
-1.762 -3.429 11.924
Tb Tm Ni
2 5 4
Cartesian
0.000 3.368 5.576
1.762 -0.257 5.248
0.000 4.573 1.528
1.762 -1.462 9.296
0.000 1.511 2.658
1.762 0.000 0.000
1.762 1.600 8.166
1.762 3.472 3.433
1.762 0.956 10.761
0.000 -0.361 7.391
0.000 2.155 0.063
```

Properties
Electronic total energy (eV per atom): -5.14
Formation energy (eV/atom): -0.17

***

(2)
A relaxed Tb2TmNi2 crystal, computed with GGA-PBE.

Structure (POSCAR):
```
Tb2TmNi2
1.0
3.778 0.000 0.000
0.000 5.574 -0.051
-1.889 -1.648 5.454
Tb Tm Ni
2 1 2
Cartesian
0.000 1.046 3.766
1.889 2.880 1.637
0.000 0.000 0.000
1.889 0.040 2.112
0.000 3.886 3.290
```

Properties
Electronic total energy (eV per atom): -5.29
Polymorph energy (0 for the lowest one) (meV/atom): 103
Formation energy (eV/atom): -0.23

***

(3)
A relaxed TbTm12Ni6 crystal, computed with GGA-PBE.

Structure (POSCAR):
```
TbTm12Ni6
1.0
1.679 5.883 -5.758
3.248 -7.344 -2.470
-8.320 -0.770 0.873
Tb Tm Ni
1 12 6
Cartesian
0.000 0.000 0.000
-5.857 0.272 -1.386
0.595 -1.948 -2.847
-3.987 -0.283 -4.508
2.464 -2.503 -5.969
0.279 -5.488 -2.470
-1.153 1.317 -3.032
-2.240 -3.548 -4.323
-3.672 3.257 -4.885
1.329 2.423 -5.354
-2.797 -1.576 -1.395
-0.596 -0.655 -5.959
-4.722 -4.654 -2.001
-5.030 -2.137 -2.633
1.637 -0.094 -4.722
0.559 -3.778 -4.713
-3.952 1.547 -2.641
-1.470 2.008 -5.532
-1.923 -4.239 -1.822
```

Properties
Electronic total energy (eV per atom): -5.16
Formation energy (eV/atom): -0.26

***

Among the records above, which one has the highest electronic total energy?
Tb2Tm5Ni4

***

What is the electronic total energy in the first record?
-5.14 eV per atom

***

Among the records above, which one has the highest formation energy?
Tb2Tm5Ni4

***

What did the first record say?
A relaxed Tb2Tm5Ni4 crystal, computed with GGA-PBE.

Structure (POSCAR):
```
Tb2Tm5Ni4
1.0
3.524 0.000 0.000
0.000 6.540 -1.100
-1.762 -3.429 11.924
Tb Tm Ni
2 5 4
Cartesian
0.000 3.368 5.576
1.762 -0.257 5.248
0.000 4.573 1.528
1.762 -1.462 9.296
0.000 1.511 2.658
1.762 0.000 0.000
1.762 1.600 8.166
1.762 3.472 3.433
1.762 0.956 10.761
0.000 -0.361 7.391
0.000 2.155 0.063
```

Properties
Electronic total energy (eV per atom): -5.14
Formation energy (eV/atom): -0.17